[1]
A relaxed structure of LaZn2B2O6, computed with GGA-PBE.

Output
The uncorrected formation energy comes out at -2.164 eV/atom. The raw total energy is -74.39 eV/f.u. Its symmetry is P-3.

extended XYZ file:
```
11
Lattice="5.0835 0.0000 0.0000 -2.5417 4.4024 0.0000 0.0000 0.0000 7.3678" Properties=species:S:1:pos:R:3 pbc="T T T"
La 0.0000 0.0000 0.0000
Zn 0.0000 2.9349 2.3285
Zn 2.5417 1.4675 5.0393
B 0.0000 2.9349 5.7969
B 2.5417 1.4675 1.5709
O 0.7474 1.7678 5.8457
O -1.3845 2.8713 5.8457
O 0.6371 4.1657 5.8457
O 1.7944 2.6346 1.5221
O 3.9262 1.5311 1.5221
O 1.9046 0.2367 1.5221
```


[2]
A relaxed structure of LaZrBO5, computed with GGA-PBE.

Output
The uncorrected formation energy comes out at -3.028 eV/atom. The raw total energy is -69.17 eV/f.u. Its symmetry is C2/c.

extended XYZ file:
```
16
Lattice="-1.6590 1.0107 -5.1970 -3.9488 -3.1037 2.3572 -0.9325 6.4903 3.2523" Properties=species:S:1:pos:R:3 pbc="T T T"
La -3.3882 -0.0550 0.5518
La -3.1521 4.4523 -0.1393
Zr -0.4663 3.2452 1.6262
Zr 0.0000 0.0000 0.0000
B -2.6168 1.3312 -1.9933
B -3.9236 3.0661 2.4058
O -3.9713 -1.1027 2.4754
O -2.5690 5.5000 -2.0629
O -2.8396 0.7795 -3.3903
O -3.7007 3.6179 3.8028
O -1.9446 2.6902 -2.0784
O -4.5957 1.7071 2.4908
O -3.9222 1.5052 -1.2032
O -2.6181 2.8921 1.6157
O -1.7877 0.3013 -1.2119
O -4.7527 4.0960 1.6244
```


[3]
A relaxed structure of LaBOs, computed with GGA-PBE.

Output
The raw total energy is -23.61 eV/f.u. Its symmetry is P-6m2. The calculation puts the formation energy at -260 meV/atom.

extended XYZ file:
```
3
Lattice="4.5929 0.0000 0.0000 0.0000 3.7066 0.0000 0.0000 -1.8533 3.2100" Properties=species:S:1:pos:R:3 pbc="T T T"
B 0.7646 1.8533 1.0700
Os 0.7653 0.0000 0.0000
La 3.0630 0.0000 2.1400
```


[4]
A relaxed structure of LaBOs, computed with GGA-PBE.

Output
The raw total energy is -22.83 eV/f.u. Its symmetry is I4mm. The calculation puts the formation energy at 0 meV/atom.

extended XYZ file:
```
3
Lattice="2.9490 0.6691 0.0000 -0.6709 2.9486 0.0000 -1.1391 -1.8089 5.3406" Properties=species:S:1:pos:R:3 pbc="T T T"
B 0.0000 0.0000 0.5475
La 0.0000 0.0000 3.5944
Os 1.1391 1.8089 1.1987
```


[5]
A relaxed structure of LaBOs, computed with GGA-PBE.

Output
The raw total energy is -23.64 eV/f.u. Its symmetry is P4/nmm. The calculation puts the formation energy at -269 meV/atom.

extended XYZ file:
```
6
Lattice="3.9982 0.0000 0.0000 0.0000 3.9982 0.0000 0.0000 0.0000 8.0620" Properties=species:S:1:pos:R:3 pbc="T T T"
La 1.9991 0.0000 1.6863
La 0.0000 1.9991 6.3757
B 1.9991 0.0000 4.8668
B 0.0000 1.9991 3.1953
Os 1.9991 1.9991 4.0310
Os 0.0000 0.0000 4.0310
```


[6]
A relaxed structure of LaB3Os, computed with GGA-PBE.

Output
The raw total energy is -37.48 eV/f.u. Its symmetry is Cmcm. The calculation puts the formation energy at -259 meV/atom.

extended XYZ file:
```
10
Lattice="3.8891 0.0000 0.0000 0.0000 5.5733 0.0000 -1.9446 0.0000 6.5695" Properties=species:S:1:pos:R:3 pbc="T T T"
La 1.9446 4.1799 5.3153
La 0.0000 1.3933 1.2542
B 1.9446 0.5533 3.2172
B 0.0000 5.0200 3.3523
B 0.0000 3.3399 3.3523
B 1.9446 2.2333 3.2172
B 0.0000 4.1799 1.6354
B 1.9446 1.3933 4.9341
Os 1.9446 4.1799 2.2278
Os 0.0000 1.3933 4.3417
```